## Fe2ReF (PBE+U)

Data for a relaxed Fe2ReF crystal.

Cell and atoms, written as CIF:
```
data_Fe2ReF
_symmetry_space_group_name_H-M 'F m -3 m'
_symmetry_Int_Tables_number 225
_symmetry_space_group_name_Hall '-F 4 2 3'
_cell_length_a 6.1553
_cell_length_b 6.1553
_cell_length_c 6.1553
_cell_angle_alpha 90.00
_cell_angle_beta 90.00
_cell_angle_gamma 90.00
loop_
_atom_site_label
_atom_site_fract_x
_atom_site_fract_y
_atom_site_fract_z
Fe1 0.2500 0.2500 0.2500
Re1 0.0000 0.0000 0.0000
F1 0.0000 0.0000 0.5000
```

Values from the calculation:
Excess energy over the best structure of this formula in the dataset ... 541 meV/atom
Fermi-level density of states ... 1.127 states/eV/atom
V ... 14.58 Å³ per atom